## Y2TmCdO (PBE)

Data for Y2TmCdO after structural relaxation.

Cell lengths 4.810, 4.810, 4.704 Å; angles 90.00, 90.00, 90.00 degrees
Space group P4/mmm (No. 123)
Inequivalent atoms, fractional coordinates:
Y 0.000 0.500 0.000 (multiplicity 2)
Tm 0.000 0.000 0.500 (multiplicity 1)
Cd 0.500 0.500 0.500 (multiplicity 1)
O 0.000 0.000 0.000 (multiplicity 1)

ΔE_f (raw): -6.64 eV/f.u.
crystal system: tetragonal